No. 1
This record from the Alexandria database describes an optimized crystal structure of SrLa3S4. The functional is PBE.

Results
space-group type = Cmmm

Cell lengths 7.251, 7.251, 4.161 Å; angles 90.00, 90.00, 109.19 degrees
Positions (direct):
1 Sr 0.000 0.000 0.000
2 La 0.000 0.500 0.500
3 La 0.500 0.000 0.500
4 La 0.500 0.500 0.000
5 S 0.250 0.750 0.000
6 S 0.252 0.252 0.500
7 S 0.748 0.748 0.500
8 S 0.750 0.250 0.000

No. 2
This record from the Alexandria database describes an optimized crystal structure of Sr2LaS. The functional is PBE.

Results
space-group type = I-42d

Cell lengths 7.993, 7.993, 7.993 Å; angles 97.28, 97.28, 138.31 degrees
Positions (direct):
1 Sr 0.375 0.247 0.372
2 Sr 0.753 0.125 0.128
3 Sr 0.875 0.003 0.628
4 Sr 0.997 0.625 0.872
5 La 0.250 0.750 0.500
6 La 0.500 0.500 0.000
7 S 0.000 0.000 0.000
8 S 0.750 0.250 0.500

Number 1: formation energy from raw total energies -2.131 eV/atom. Number 2: formation energy from raw total energies -0.677 eV/atom.